The following is a DFT calculation (PBE-GGA) of a relaxed ThZnCuNi2 crystal.

Cell: 5.160 12.575 5.104 Å, 90.00 90.00 90.00°
Space group Cmme (No. 67)
Asymmetric unit:
1 Th 0.000 0.250 0.237 (multiplicity 4)
2 Zn 0.000 0.000 0.000 (multiplicity 4)
3 Cu 0.250 0.000 0.500 (multiplicity 4)
4 Ni 0.000 0.152 0.718 (multiplicity 8)

Values from the calculation:
Total magnetic moment   0.000 Bohr magnetons per cell
Raw total energy   -5.0785 eV/atom
D(E_F)   9.003 states/eV per cell